No. 1
Here is crystalline Li2BeSi at its relaxed geometry from Alexandria via LeMat-Bulk. Energies are from PBE.

The structure in POSCAR format:
```
Li2BeSi
1.0
0.0000 2.8986 2.8986
2.8986 0.0000 2.8986
2.8986 2.8986 0.0000
Li Be Si
2 1 1
Direct
0.2500 0.2500 0.2500 Li
0.7500 0.7500 0.7500 Li
0.0000 0.0000 0.0000 Be
0.5000 0.5000 0.5000 Si
```

Results
V (Å³ per cell): 48.71
ρ (Mg/m³): 1.738
SG: Fm-3m (225)
Excess energy over the best structure of this formula in the dataset (meV/atom): 259.4
Energy relative to the elements, uncorrected (meV per atom): 104

No. 2
Here is crystalline Li2BeSi at its relaxed geometry from Alexandria via LeMat-Bulk. Energies are from PBE.

The structure in POSCAR format:
```
Li2BeSi
1.0
0.0000 2.8687 2.8687
2.8687 0.0000 2.8687
2.8687 2.8687 0.0000
Li Be Si
2 1 1
Direct
0.0000 0.0000 0.0000 Li
0.2500 0.2500 0.2500 Li
0.7500 0.7500 0.7500 Be
0.5000 0.5000 0.5000 Si
```

Results
V (Å³ per cell): 47.22
ρ (Mg/m³): 1.793
SG: F-43m (216)
Excess energy over the best structure of this formula in the dataset (meV/atom): 0.0
Energy relative to the elements, uncorrected (meV per atom): -156

No. 3
Here is crystalline LiBe2Si at its relaxed geometry from Alexandria via LeMat-Bulk. Energies are from PBE.

The structure in POSCAR format:
```
LiBe2Si
1.0
4.0256 -1.2044 0.0000
4.0256 1.2044 0.0000
-0.9314 0.0000 4.7555
Li Be Si
1 2 1
Direct
0.0000 0.0000 0.0000 Li
0.5031 0.5031 0.4783 Be
0.7736 0.7736 0.2760 Be
0.2352 0.2352 0.7105 Si
```

Results
V (Å³ per cell): 46.11
ρ (Mg/m³): 1.910
SG: Cm (8)
Energy relative to the elements, uncorrected (meV per atom): 226

No. 4
Here is crystalline Li2BeSi at its relaxed geometry from Alexandria via LeMat-Bulk. Energies are from PBE.

The structure in POSCAR format:
```
Li2BeSi
1.0
4.1350 -1.2703 0.0000
4.1350 1.2703 0.0000
-0.6514 0.0000 4.8265
Li Be Si
2 1 1
Direct
0.0000 0.0000 0.0000 Li
0.2247 0.2247 0.7391 Li
0.7498 0.7498 0.2723 Be
0.4782 0.4782 0.4689 Si
```

Results
V (Å³ per cell): 50.70
ρ (Mg/m³): 1.670
SG: Cm (8)
Excess energy over the best structure of this formula in the dataset (meV/atom): 167.8
Energy relative to the elements, uncorrected (meV per atom): 12

No. 5
Here is crystalline LiBeSi3 at its relaxed geometry from Alexandria via LeMat-Bulk. Energies are from PBE.

The structure in POSCAR format:
```
LiBeSi3
1.0
4.3433 0.0000 0.0000
0.0000 4.3433 0.0000
0.0000 0.0000 4.3433
Li Be Si
1 1 3
Direct
0.0000 0.0000 0.0000 Li
0.5000 0.5000 0.5000 Be
0.0000 0.5000 0.5000 Si
0.5000 0.0000 0.5000 Si
0.5000 0.5000 0.0000 Si
```

Results
V (Å³ per cell): 81.93
ρ (Mg/m³): 2.031
SG: Pm-3m (221)
Excess energy over the best structure of this formula in the dataset (meV/atom): 0.0
Energy relative to the elements, uncorrected (meV per atom): 558

No. 6
Here is crystalline Li2BeSi at its relaxed geometry from Alexandria via LeMat-Bulk. Energies are from PBE.

The structure in POSCAR format:
```
Li2BeSi
1.0
1.9782 -1.9902 0.0000
1.9782 1.9902 0.0000
0.0000 0.0000 6.9799
Li Be Si
2 1 1
Direct
0.0000 0.0000 0.0000 Li
0.5000 0.5000 0.3277 Li
0.5000 0.5000 0.7715 Be
0.0000 0.0000 0.5857 Si
```

Results
V (Å³ per cell): 54.96
ρ (Mg/m³): 1.540
SG: Cmm2 (35)
Excess energy over the best structure of this formula in the dataset (meV/atom): 235.6
Energy relative to the elements, uncorrected (meV per atom): 80

No. 7
Here is crystalline LiBe2Si2 at its relaxed geometry from Alexandria via LeMat-Bulk. Energies are from PBE.

The structure in POSCAR format:
```
LiBe2Si2
1.0
-1.8462 1.8462 4.9476
1.8462 -1.8462 4.9476
1.8462 1.8462 -4.9476
Li Be Si
1 2 2
Direct
0.0000 0.0000 0.0000 Li
0.2500 0.7500 0.5000 Be
0.7500 0.2500 0.5000 Be
0.3829 0.3829 0.0000 Si
0.6171 0.6171 0.0000 Si
```

Results
V (Å³ per cell): 67.45
ρ (Mg/m³): 1.997
SG: I4/mmm (139)
Excess energy over the best structure of this formula in the dataset (meV/atom): 0.0
Energy relative to the elements, uncorrected (meV per atom): -16

No. 8
Here is crystalline Li2BeSi at its relaxed geometry from Alexandria via LeMat-Bulk. Energies are from PBE.

The structure in POSCAR format:
```
Li2BeSi
1.0
2.6222 0.0000 0.0000
0.0000 3.6037 0.0000
0.0000 0.0000 5.4433
Li Be Si
2 1 1
Direct
0.0000 0.0000 0.0000 Li
0.5000 0.5000 0.2724 Li
0.5000 0.5000 0.7366 Be
0.0000 0.0000 0.5370 Si
```

Results
V (Å³ per cell): 51.44
ρ (Mg/m³): 1.646
SG: Pmm2 (25)
Excess energy over the best structure of this formula in the dataset (meV/atom): 210.8
Energy relative to the elements, uncorrected (meV per atom): 55

No. 9
Here is crystalline Li2BeSi at its relaxed geometry from Alexandria via LeMat-Bulk. Energies are from PBE.

The structure in POSCAR format:
```
Li2BeSi
1.0
1.2997 0.7504 8.7536
-1.2997 0.7504 8.7536
0.0000 -1.5008 8.7536
Li Be Si
2 1 1
Direct
0.2491 0.2491 0.2491 Li
0.7509 0.7509 0.7509 Li
0.0000 0.0000 0.0000 Be
0.5000 0.5000 0.5000 Si
```

Results
V (Å³ per cell): 51.22
ρ (Mg/m³): 1.653
SG: R-3m (166)
Excess energy over the best structure of this formula in the dataset (meV/atom): 293.1
Energy relative to the elements, uncorrected (meV per atom): 138

No. 10
Here is crystalline LiBe2Si at its relaxed geometry from Alexandria via LeMat-Bulk. Energies are from PBE.

The structure in POSCAR format:
```
LiBe2Si
1.0
1.6648 -1.8802 0.0000
1.6648 1.8802 0.0000
0.0000 0.0000 7.4446
Li Be Si
1 2 1
Direct
0.0000 0.0000 0.0000 Li
0.5000 0.5000 0.2705 Be
0.5000 0.5000 0.7295 Be
0.0000 0.0000 0.5000 Si
```

Results
V (Å³ per cell): 46.60
ρ (Mg/m³): 1.890
SG: Cmmm (65)
Energy relative to the elements, uncorrected (meV per atom): 345

No. 11
Here is crystalline LiBe2Si at its relaxed geometry from Alexandria via LeMat-Bulk. Energies are from PBE.

The structure in POSCAR format:
```
LiBe2Si
1.0
2.7035 0.0000 0.0000
0.0000 2.7035 0.0000
0.0000 0.0000 6.2254
Li Be Si
1 2 1
Direct
0.0000 0.0000 0.0000 Li
0.0000 0.0000 0.5717 Be
0.5000 0.5000 0.7284 Be
0.5000 0.5000 0.3160 Si
```

Results
V (Å³ per cell): 45.50
ρ (Mg/m³): 1.936
SG: P4mm (99)
Energy relative to the elements, uncorrected (meV per atom): 196

No. 12
Here is crystalline Li2BeSi at its relaxed geometry from Alexandria via LeMat-Bulk. Energies are from PBE.

The structure in POSCAR format:
```
Li2BeSi
1.0
2.4410 -4.0360 0.0000
2.4410 4.0360 0.0000
0.0000 0.0000 2.5669
Li Be Si
2 1 1
Direct
0.0000 0.5000 0.0000 Li
0.5000 0.0000 0.0000 Li
0.0000 0.0000 0.5000 Be
0.5000 0.5000 0.5000 Si
```

Results
V (Å³ per cell): 50.58
ρ (Mg/m³): 1.674
SG: Cmmm (65)
Excess energy over the best structure of this formula in the dataset (meV/atom): 236.6
Energy relative to the elements, uncorrected (meV per atom): 81

No. 13
Here is crystalline Li2BeSi at its relaxed geometry from Alexandria via LeMat-Bulk. Energies are from PBE.

The structure in POSCAR format:
```
Li2BeSi
1.0
2.4945 0.0000 0.0000
0.0000 2.4945 0.0000
0.0000 0.0000 8.2230
Li Be Si
2 1 1
Direct
0.0000 0.0000 0.2452 Li
0.0000 0.0000 0.7548 Li
0.5000 0.5000 0.0000 Be
0.5000 0.5000 0.5000 Si
```

Results
V (Å³ per cell): 51.17
ρ (Mg/m³): 1.654
SG: P4/mmm (123)
Excess energy over the best structure of this formula in the dataset (meV/atom): 242.9
Energy relative to the elements, uncorrected (meV per atom): 87

No. 14
Here is crystalline Li2BeSi at its relaxed geometry from Alexandria via LeMat-Bulk. Energies are from PBE.

The structure in POSCAR format:
```
Li2BeSi
1.0
-4.8478 4.8478 2.0006
4.8478 -4.8478 2.0006
4.8478 4.8478 -2.0006
Li Be Si
4 2 2
Direct
0.3750 0.1175 0.2425 Li
0.8675 0.6250 0.7425 Li
0.8750 0.1325 0.7575 Li
0.8825 0.1250 0.2575 Li
0.0000 0.0000 0.0000 Be
0.7500 0.2500 0.5000 Be
0.2500 0.7500 0.5000 Si
0.5000 0.5000 0.0000 Si
```

Results
V (Å³ per cell): 188.07
ρ (Mg/m³): 0.900
SG: I-42d (122)
Excess energy over the best structure of this formula in the dataset (meV/atom): 407.6
Energy relative to the elements, uncorrected (meV per atom): 252

No. 15
Here is crystalline LiBe2Si at its relaxed geometry from Alexandria via LeMat-Bulk. Energies are from PBE.

The structure in POSCAR format:
```
LiBe2Si
1.0
2.5184 0.0000 0.0000
0.0000 2.5184 0.0000
0.0000 0.0000 7.3104
Li Be Si
1 2 1
Direct
0.0000 0.0000 0.0000 Li
0.5000 0.5000 0.2727 Be
0.5000 0.5000 0.7273 Be
0.0000 0.0000 0.5000 Si
```

Results
V (Å³ per cell): 46.36
ρ (Mg/m³): 1.900
SG: P4/mmm (123)
Energy relative to the elements, uncorrected (meV per atom): 354

No. 16
Here is crystalline LiBe2Si at its relaxed geometry from Alexandria via LeMat-Bulk. Energies are from PBE.

The structure in POSCAR format:
```
LiBe2Si
1.0
2.9975 0.0000 0.0000
0.0000 2.9975 0.0000
0.0000 0.0000 4.9558
Li Be Si
1 2 1
Direct
0.0000 0.0000 0.0000 Li
0.5000 0.5000 0.2587 Be
0.5000 0.5000 0.7413 Be
0.0000 0.0000 0.5000 Si
```

Results
V (Å³ per cell): 44.53
ρ (Mg/m³): 1.978
SG: P4/mmm (123)
Energy relative to the elements, uncorrected (meV per atom): 247

No. 17
Here is crystalline LiBe2Si at its relaxed geometry from Alexandria via LeMat-Bulk. Energies are from PBE.

The structure in POSCAR format:
```
LiBe2Si
1.0
2.8170 0.0000 0.0000
0.0000 3.8040 0.0000
-0.0501 0.0000 4.5411
Li Be Si
1 2 1
Direct
0.0000 0.0000 0.0000 Li
0.4872 0.5000 0.2429 Be
0.5128 0.5000 0.7571 Be
0.5000 0.0000 0.5000 Si
```

Results
V (Å³ per cell): 48.66
ρ (Mg/m³): 1.810
SG: P2/m (10)
Energy relative to the elements, uncorrected (meV per atom): 185

No. 18
Here is crystalline Li2BeSi at its relaxed geometry from Alexandria via LeMat-Bulk. Energies are from PBE.

The structure in POSCAR format:
```
Li2BeSi
1.0
2.5255 0.0000 0.0000
0.0000 4.0458 0.0000
-0.4509 0.0000 4.9277
Li Be Si
2 1 1
Direct
0.0115 0.0000 0.2497 Li
0.9885 0.0000 0.7503 Li
0.5000 0.5000 0.5000 Be
0.5000 0.5000 0.0000 Si
```

Results
V (Å³ per cell): 50.35
ρ (Mg/m³): 1.681
SG: P2/m (10)
Excess energy over the best structure of this formula in the dataset (meV/atom): 227.9
Energy relative to the elements, uncorrected (meV per atom): 72

No. 19
Here is crystalline LiBe2Si at its relaxed geometry from Alexandria via LeMat-Bulk. Energies are from PBE.

The structure in POSCAR format:
```
LiBe2Si
1.0
2.4719 0.0000 0.0000
0.0000 3.4123 0.0000
0.0000 0.0000 5.4627
Li Be Si
1 2 1
Direct
0.0000 0.0000 0.0000 Li
0.0000 0.0000 0.5396 Be
0.5000 0.5000 0.7133 Be
0.5000 0.5000 0.2994 Si
```

Results
V (Å³ per cell): 46.08
ρ (Mg/m³): 1.912
SG: Pmm2 (25)
Energy relative to the elements, uncorrected (meV per atom): 166

No. 20
Here is crystalline Li2BeSi at its relaxed geometry from Alexandria via LeMat-Bulk. Energies are from PBE.

The structure in POSCAR format:
```
Li2BeSi
1.0
2.6629 0.0000 0.0000
0.0000 4.0119 0.0000
0.0000 0.0000 4.7681
Li Be Si
2 1 1
Direct
0.0000 0.0000 0.2478 Li
0.0000 0.0000 0.7522 Li
0.5000 0.5000 0.5000 Be
0.5000 0.5000 0.0000 Si
```

Results
V (Å³ per cell): 50.94
ρ (Mg/m³): 1.662
SG: Pmmm (47)
Excess energy over the best structure of this formula in the dataset (meV/atom): 219.7
Energy relative to the elements, uncorrected (meV per atom): 64